w) ## Tl2CdIr (SCAN)

Data for a PBEsol-optimized structure of Tl2CdIr.

Cell: 3.129 3.129 8.693 Å, 90.00 90.00 90.00°
Fractional coordinates of all 4 atoms:
Tl 0.000 0.000 0.212
Tl 0.000 0.000 0.788
Cd 0.500 0.500 0.500
Ir 0.500 0.500 0.000

Summary:
N(E_F) in states/eV/f.u.: 2.0
Symmetry: P4/mmm

x) ## Tl2CdIr (SCAN)

Data for a PBEsol-optimized structure of Tl2CdIr.

Cell: 3.142 3.142 8.745 Å, 90.00 90.00 90.00°
Fractional coordinates of all 4 atoms:
Tl 0.000 0.000 0.000
Tl 0.500 0.500 0.314
Cd 0.000 0.000 0.601
Ir 0.500 0.500 0.794

Summary:
N(E_F) in states/eV/f.u.: 1.5
Symmetry: P4mm

Short version: w) is the least stable of them.

w) ## CdIrW (SCAN)

Data for a PBEsol-optimized structure of CdIrW.

Cell: 5.032 5.032 5.032 Å, 147.43 134.84 56.78°
Fractional coordinates of all 3 atoms:
Cd 0.000 0.000 0.000
Ir 0.681 0.681 0.000
W 0.316 0.316 0.000

Summary:
N(E_F) in states/eV/f.u.: 1.4
Symmetry: Imm2

x) ## CdIrW (SCAN)

Data for a PBEsol-optimized structure of CdIrW.

Cell: 4.293 4.293 4.293 Å, 60.00 60.00 60.00°
Fractional coordinates of all 3 atoms:
Cd 0.000 0.000 0.000
Ir 0.250 0.250 0.250
W 0.500 0.500 0.500

Summary:
N(E_F) in states/eV/f.u.: 4.7
Symmetry: F-43m

Short version: x) is the least stable of them.

w) ## K2Cd (SCAN)

Data for a PBEsol-optimized structure of K2Cd.

Cell: 9.207 9.207 6.057 Å, 90.00 90.00 149.42°
Fractional coordinates of all 6 atoms:
K 0.063 0.937 0.750
K 0.249 0.751 0.250
K 0.751 0.249 0.750
K 0.937 0.063 0.250
Cd 0.402 0.598 0.750
Cd 0.598 0.402 0.250

Summary:
N(E_F) in states/eV/f.u.: 1.6
Symmetry: Cmcm

x) ## K2Cd (SCAN)

Data for a PBEsol-optimized structure of K2Cd.

Cell: 8.207 5.792 11.212 Å, 90.00 90.00 90.00°
Fractional coordinates of all 12 atoms:
K 0.040 0.250 0.191
K 0.168 0.250 0.563
K 0.332 0.750 0.063
K 0.460 0.750 0.691
K 0.540 0.250 0.309
K 0.668 0.250 0.937
K 0.832 0.750 0.437
K 0.960 0.750 0.809
Cd 0.228 0.250 0.880
Cd 0.272 0.750 0.380
Cd 0.728 0.250 0.620
Cd 0.772 0.750 0.120

Summary:
N(E_F) in states/eV/f.u.: 1.5
Symmetry: Pnma

Short version: w) is the least stable of them.

w) ## K2Cd (SCAN)

Data for a PBEsol-optimized structure of K2Cd.

Cell: 8.991 8.991 8.069 Å, 105.35 105.35 26.16°
Fractional coordinates of all 6 atoms:
K 0.115 0.115 0.066
K 0.154 0.154 0.597
K 0.846 0.846 0.403
K 0.885 0.885 0.934
Cd 0.498 0.498 0.679
Cd 0.502 0.502 0.321

Summary:
N(E_F) in states/eV/f.u.: 1.7
Symmetry: C2/m

x) ## K2Cd (SCAN)

Data for a PBEsol-optimized structure of K2Cd.

Cell: 6.187 6.187 7.804 Å, 90.00 90.00 120.00°
Fractional coordinates of all 6 atoms:
K 0.000 0.000 0.000
K 0.000 0.000 0.500
K 0.333 0.667 0.250
K 0.667 0.333 0.750
Cd 0.333 0.667 0.750
Cd 0.667 0.333 0.250

Summary:
N(E_F) in states/eV/f.u.: 1.5
Symmetry: P6_3/mmc

Short version: x) is the least stable of them.